1.
{
  "formula": "LiGdTl",
  "functional": "GGA-PBE",
  "state": "optimized geometry",
  "lattice": [[0.000, 3.341, 3.341], [3.341, 0.000, 3.341], [3.341, 3.341, 0.000]],
  "species": ["Li", "Tl", "Gd"],
  "fractional_positions": [[0.250, 0.250, 0.250], [0.000, 0.000, 0.000], [0.500, 0.500, 0.500]],
  "space_group": "F-43m, No. 216",
  "de_polymorph_ev_per_atom": 0.224
}

***

2.
{
  "formula": "TlCuMoPt",
  "functional": "GGA-PBE",
  "state": "optimized geometry",
  "lattice": [[0.000, 3.228, 3.228], [3.228, 0.000, 3.228], [3.228, 3.228, 0.000]],
  "species": ["Pt", "Mo", "Tl", "Cu"],
  "fractional_positions": [[0.250, 0.250, 0.250], [0.500, 0.500, 0.500], [0.000, 0.000, 0.000], [0.750, 0.750, 0.750]],
  "space_group": "F-43m, No. 216",
  "de_polymorph_ev_per_atom": 0.003
}

***

Question: What is the formula in the second record?
Answer: TlCuMoPt